(P)
## SrOsCl2 (GGA-PBE)

Data for SrOsCl2 after structural relaxation.

a b c (Å): 3.2726 6.0775 4.4705
angles (deg): 90.00 90.00 90.00
Closest atoms and distances in Å follow each position.
Atoms (fractional coordinates):
1 Sr 0.0000 0.5000 0.5000  4 Cl 2.77
2 Os 0.5000 0.0000 0.5000  4 Cl 2.77
3 Cl 0.0000 0.0000 0.0000  4 Os 2.77
4 Cl 0.5000 0.5000 0.0000  4 Sr 2.77

## Properties
**Crystal system**: orthorhombic
**Calculated density**: 6.5 g/cm³
**DOS(E_F)**: 3.769 states/eV/f.u.
**Volume**: 89 Å³/cell

(Q)
## SrOsCl2 (GGA-PBE)

Data for SrOsCl2 after structural relaxation.

a b c (Å): 5.0992 5.0992 5.0992
angles (deg): 60.00 60.00 60.00
Closest atoms and distances in Å follow each position.
Atoms (fractional coordinates):
1 Sr 0.0000 0.0000 0.0000  8 Cl 3.12
2 Os 0.5000 0.5000 0.5000  8 Cl 3.12
3 Cl 0.2500 0.2500 0.2500  4 Os 3.12, 4 Sr 3.12
4 Cl 0.7500 0.7500 0.7500  4 Os 3.12, 4 Sr 3.12

## Properties
**Crystal system**: cubic
**Calculated density**: 6.2 g/cm³
**DOS(E_F)**: 1.138 states/eV/f.u.
**Volume**: 94 Å³/cell

What should be chosen as the most stable of them? Choose (P).

(P)
## SrOsCl2 (GGA-PBE)

Data for SrOsCl2 after structural relaxation.

a b c (Å): 10.7105 10.7105 10.7105
angles (deg): 22.11 22.11 22.11
Closest atoms and distances in Å follow each position.
Atoms (fractional coordinates):
1 Sr 0.7500 0.7500 0.7500  6 Cl 2.86
2 Os 0.2500 0.2500 0.2500  6 Os 4.11, 6 Cl 4.34
3 Cl 0.0325 0.0325 0.0325  3 Sr 2.86
4 Cl 0.4675 0.4675 0.4675  3 Sr 2.86

## Properties
**Crystal system**: trigonal
**Calculated density**: 3.8 g/cm³
**DOS(E_F)**: 3.994 states/eV/f.u.
**Volume**: 153 Å³/cell

(Q)
## SrOsCl2 (GGA-PBE)

Data for SrOsCl2 after structural relaxation.

a b c (Å): 5.2563 5.2563 5.2563
angles (deg): 60.00 60.00 60.00
Closest atoms and distances in Å follow each position.
Atoms (fractional coordinates):
1 Sr 0.7500 0.7500 0.7500  4 Cl 3.22, 4 Os 3.22
2 Os 0.5000 0.5000 0.5000  4 Sr 3.22, 4 Cl 3.22
3 Cl 0.0000 0.0000 0.0000  4 Cl 3.22, 4 Sr 3.22
4 Cl 0.2500 0.2500 0.2500  4 Cl 3.22, 4 Os 3.22

## Properties
**Crystal system**: cubic
**Calculated density**: 5.6 g/cm³
**DOS(E_F)**: 5.840 states/eV/f.u.
**Volume**: 103 Å³/cell

What should be chosen as the most stable of them? Choose (P).

(P)
## SrOsCl2 (GGA-PBE)

Data for SrOsCl2 after structural relaxation.

a b c (Å): 6.5297 6.5297 6.5297
angles (deg): 144.54 144.54 51.02
Closest atoms and distances in Å follow each position.
Atoms (fractional coordinates):
1 Sr 0.7500 0.2500 0.5000  4 Cl 2.81
2 Os 0.5000 0.5000 0.0000  4 Cl 2.81
3 Cl 0.0000 0.0000 0.0000  4 Os 2.81
4 Cl 0.2500 0.7500 0.5000  4 Sr 2.81

## Properties
**Crystal system**: tetragonal
**Calculated density**: 6.2 g/cm³
**DOS(E_F)**: 5.712 states/eV/f.u.
**Volume**: 93 Å³/cell

(Q)
## SrOsCl2 (GGA-PBE)

Data for SrOsCl2 after structural relaxation.

a b c (Å): 4.9777 4.9777 8.5208
angles (deg): 73.02 73.02 90.00
Closest atoms and distances in Å follow each position.
Atoms (fractional coordinates):
1 Sr 0.5000 0.5000 0.0000  4 Cl 2.84
2 Sr 0.2500 0.7500 0.5000  4 Cl 2.84
3 Os 0.0000 0.0000 0.0000  4 Cl 2.45
4 Os 0.7500 0.2500 0.5000  4 Cl 2.45
5 Cl 0.7084 0.1250 0.2500  2 Os 2.45
6 Cl 0.0416 0.6250 0.2500  2 Os 2.45
7 Cl 0.3750 0.2916 0.7500  2 Os 2.45
8 Cl 0.8750 0.9584 0.7500  2 Os 2.45

## Properties
**Crystal system**: tetragonal
**Calculated density**: 6.0 g/cm³
**DOS(E_F)**: 0.404 states/eV/f.u.
**Volume**: 192 Å³/cell

(R)
## SrOsCl2 (GGA-PBE)

Data for SrOsCl2 after structural relaxation.

a b c (Å): 8.2405 8.2405 8.2405
angles (deg): 27.58 27.58 27.58
Closest atoms and distances in Å follow each position.
Atoms (fractional coordinates):
1 Sr 0.0000 0.0000 0.0000  2 Cl 2.94
2 Os 0.5000 0.5000 0.5000  6 Cl 2.49
3 Cl 0.8763 0.8763 0.8763  3 Os 2.49
4 Cl 0.1237 0.1237 0.1237  3 Os 2.49

## Properties
**Crystal system**: trigonal
**Calculated density**: 5.5 g/cm³
**DOS(E_F)**: 4.363 states/eV/f.u.
**Volume**: 106 Å³/cell

What should be chosen as the most stable of them? Choose (Q).